[1]
PBE-GGA Ce4InGa3, optimized geometry; N(E_F) = 19.0 states/eV per cell; ΔH_f (0 K) = -0.40 eV/atom; SG = Pmm2, No. 25; DFT total energy = -4.84 eV per atom
1.0
-1.8262 -0.7644 -3.9747
-3.2031 -2.0141 1.8590
-5.7150 9.7767 0.7455
Ga Ce In
3 4 1
direct
0.0000 0.0000 0.4313
0.5000 0.0000 0.9172
0.0000 0.5000 0.5717
0.5000 0.5000 0.3651
0.0000 0.5000 0.8487
0.0000 0.0000 0.1533
0.5000 0.0000 0.6411
0.5000 0.5000 0.0715

[2]
PBE-GGA Ce6In3Ga, optimized geometry; N(E_F) = 50.8 states/eV per cell; ΔH_f (0 K) = -0.20 eV/atom; SG = R-3m, No. 166; DFT total energy = -4.88 eV per atom
1.0
-4.7878 -5.0468 4.4553
6.3176 -3.5188 3.9936
-0.4303 5.0892 6.4929
Ce In Ga
12 6 2
direct
0.5177 0.5176 0.1568
0.2515 0.9070 0.2515
0.2515 0.2515 0.9070
0.5176 0.1568 0.5177
0.7485 0.0930 0.7485
0.4823 0.4824 0.8432
0.0930 0.7485 0.7485
0.9070 0.2515 0.2515
0.1568 0.5177 0.5176
0.4824 0.8432 0.4823
0.8432 0.4823 0.4824
0.7485 0.7485 0.0930
0.5685 0.1195 0.1195
0.8805 0.4315 0.8805
0.1195 0.5685 0.1195
0.8805 0.8805 0.4315
0.1195 0.1195 0.5685
0.4315 0.8805 0.8805
0.5000 0.5000 0.5000
0.0000 0.0000 0.0000

[3]
PBE-GGA Ce2In2Ga, optimized geometry; N(E_F) = 16.6 states/eV per cell; ΔH_f (0 K) = -0.34 eV/atom; SG = C2/c, No. 15; DFT total energy = -4.42 eV per atom
1.0
-4.0227 -3.3492 1.9987
0.9984 -2.2606 6.0749
-1.1081 3.3425 11.2243
In Ce Ga
4 4 2
direct
0.9404 0.5604 0.8479
0.0596 0.4396 0.1521
0.3487 0.9396 0.6521
0.6513 0.0604 0.3479
0.7172 0.4202 0.4323
0.2828 0.5798 0.5677
0.5697 0.0798 0.0677
0.4303 0.9202 0.9323
0.8540 0.2500 0.7500
0.1460 0.7500 0.2500

[4]
PBE-GGA Ce5In2Ga, optimized geometry; N(E_F) = 20.6 states/eV per cell; ΔH_f (0 K) = -0.28 eV/atom; SG = I4/mmm, No. 139; DFT total energy = -5.05 eV per atom
1.0
-2.4977 3.7324 1.1299
-2.2749 -2.4844 3.1778
8.9776 1.7876 4.4500
Ce In Ga
5 2 1
direct
0.1214 0.6214 0.2428
0.3786 0.8786 0.7572
0.8786 0.3786 0.7572
0.6214 0.1214 0.2428
0.5000 0.5000 0.0000
0.7496 0.7496 0.4992
0.2504 0.2504 0.5008
0.0000 0.0000 0.0000

[5]
PBE-GGA Ce4InGa, optimized geometry; N(E_F) = 15.1 states/eV per cell; ΔH_f (0 K) = -0.24 eV/atom; SG = C2/m, No. 12; DFT total energy = -5.16 eV per atom
1.0
-3.0229 -3.6568 -2.0519
2.2834 -2.7799 -4.8779
-0.8452 -4.8862 3.4851
Ga Ce In
1 4 1
direct
0.5000 0.5000 0.5000
0.2660 0.4270 0.0803
0.7339 0.9197 0.5730
0.2660 0.0803 0.4270
0.7339 0.5730 0.9197
0.0000 0.0000 0.0000

[6]
PBE-GGA Ce7In3Ga2, optimized geometry; N(E_F) = 29.0 states/eV per cell; ΔH_f (0 K) = -0.09 eV/atom; SG = R-3m, No. 166; DFT total energy = -4.74 eV per atom
1.0
-3.6245 -5.4393 2.1332
2.9379 -4.7140 4.0522
-2.5783 0.7231 8.5436
Ce In Ga
7 3 2
direct
0.3981 0.9279 0.2758
0.6019 0.0721 0.7242
0.5000 0.5000 0.5000
0.3981 0.3981 0.2758
0.9279 0.3981 0.2758
0.6019 0.6019 0.7242
0.0721 0.6019 0.7242
0.0000 0.0000 0.0000
0.8752 0.8752 0.3745
0.1248 0.1248 0.6255
0.3364 0.3364 0.9907
0.6636 0.6636 0.0093

[7]
PBE-GGA Ce5InGa4, optimized geometry; N(E_F) = 23.0 states/eV per cell; ΔH_f (0 K) = -0.42 eV/atom; SG = P4/mmm, No. 123; DFT total energy = -4.87 eV per atom
1.0
3.9212 0.0000 0.0000
0.0000 3.9212 0.0000
0.0000 0.0000 15.9227
Ga Ce In
4 5 1
direct
0.0000 0.0000 0.7892
0.0000 0.0000 0.5996
0.0000 0.0000 0.2108
0.0000 0.0000 0.4004
0.5000 0.5000 0.5000
0.5000 0.5000 0.6978
0.5000 0.5000 0.8801
0.5000 0.5000 0.3022
0.5000 0.5000 0.1199
0.0000 0.0000 0.0000

[8]
PBE-GGA Ce2In3Ga3, optimized geometry; N(E_F) = 11.2 states/eV per cell; ΔH_f (0 K) = -0.43 eV/atom; SG = Pmmm, No. 47; DFT total energy = -4.08 eV per atom
1.0
4.4129 0.0000 0.0000
0.0000 4.5468 0.0000
0.0000 0.0000 9.2933
In Ga Ce
3 3 2
direct
0.5000 0.0000 0.5000
0.0000 0.5000 0.5000
0.0000 0.5000 0.0000
0.5000 0.0000 0.0000
0.5000 0.5000 0.2429
0.5000 0.5000 0.7571
0.0000 0.0000 0.7577
0.0000 0.0000 0.2423

[9]
PBE-GGA Ce2InGa4, optimized geometry; N(E_F) = 20.6 states/eV per cell; ΔH_f (0 K) = -0.28 eV/atom; SG = Cmce, No. 64; DFT total energy = -4.09 eV per atom
1.0
-7.0573 -6.0959 3.7913
4.1523 -4.3390 0.7526
-1.0652 3.9638 4.3906
Ga Ce In
8 4 2
direct
0.7500 0.7498 0.0000
0.2500 0.4990 0.5000
0.7500 0.0010 0.5000
0.7500 0.5010 0.5000
0.7500 0.2498 0.0000
0.2500 0.9990 0.5000
0.2500 0.7502 0.0000
0.2500 0.2502 0.0000
0.0000 0.3684 0.7367
0.5000 0.1316 0.2633
0.5000 0.8684 0.7367
0.0000 0.6316 0.2633
0.0000 0.0000 0.0000
0.5000 0.5000 0.0000

[10]
PBE-GGA Ce5In2Ga4, optimized geometry; N(E_F) = 23.4 states/eV per cell; ΔH_f (0 K) = 0.13 eV/atom; SG = Immm, No. 71; DFT total energy = -4.16 eV per atom
1.0
3.1100 0.0000 0.0000
0.0000 7.6049 0.0000
-1.5550 -3.8024 15.3551
Ga Ce In
4 5 2
direct
0.0000 0.6634 0.0000
0.0000 0.3366 0.0000
0.7236 0.7236 0.4472
0.2764 0.2764 0.5528
0.1891 0.3689 0.3783
0.8109 0.6311 0.6217
0.5000 0.0000 0.0000
0.8109 0.9906 0.6217
0.1891 0.0094 0.3783
0.0924 0.0924 0.1848
0.9076 0.9076 0.8152

[11]
PBE-GGA Ce4In3Ga, optimized geometry; N(E_F) = 17.6 states/eV per cell; ΔH_f (0 K) = -0.27 eV/atom; SG = C2/m, No. 12; DFT total energy = -4.64 eV per atom
1.0
-4.7888 -0.8014 -1.8813
1.6885 -1.4545 -3.6784
1.6395 -7.2270 6.1114
Ce In Ga
4 3 1
direct
0.7295 0.2306 0.4591
0.3789 0.3796 0.7578
0.2705 0.7694 0.5409
0.6211 0.6204 0.2422
0.8752 0.8755 0.7505
0.0000 0.5000 0.0000
0.1248 0.1245 0.2495
0.5000 0.0000 0.0000

[12]
PBE-GGA Ce3In2Ga, optimized geometry; N(E_F) = 31.1 states/eV per cell; ΔH_f (0 K) = -0.36 eV/atom; SG = Cmmm, No. 65; DFT total energy = -4.74 eV per atom
1.0
3.1853 0.0000 0.0000
0.0000 5.7785 0.0000
0.0000 0.0000 17.2531
In Ga Ce
4 2 6
direct
0.9998 0.0000 0.3277
0.0002 0.5000 0.8277
0.9998 0.0000 0.6723
0.0002 0.5000 0.1723
0.0004 0.0000 0.0000
0.9996 0.5000 0.5000
0.4996 0.0000 0.5000
0.5003 0.0000 0.1558
0.4997 0.5000 0.3442
0.5003 0.0000 0.8442
0.5004 0.5000 0.0000
0.4997 0.5000 0.6558